1 | BeCuRu | PBE | relaxed

Summary:
Spin magnetization in μB per cell: 0.0
DOS at the Fermi energy in states/eV per atom: 0.58

Unit cell a=2.646 b=2.646 c=20.103 alpha=90.00 beta=90.00 gamma=90.00
Space group I4/mmm (No. 139)
Inequivalent atoms, fractional coordinates:
Be  0.000  0.000  0.134 [4 per cell]
Cu  0.000  0.000  0.294 [4 per cell]
Ru  0.000  0.000  0.441 [4 per cell]

***

2 | BeCuRu | PBE | relaxed

Summary:
Spin magnetization in μB per cell: 0.0
DOS at the Fermi energy in states/eV per atom: 0.56

Unit cell a=2.711 b=2.711 c=9.206 alpha=90.00 beta=90.00 gamma=90.00
Space group I4mm (No. 107)
Inequivalent atoms, fractional coordinates:
Be  0.000  0.000  0.000 [2 per cell]
Cu  0.000  0.000  0.647 [2 per cell]
Ru  0.000  0.000  0.346 [2 per cell]

***

Stability, highest: 2

***

1 | BeCu3Ru | PBE | relaxed

Summary:
Spin magnetization in μB per cell: 2.0
DOS at the Fermi energy in states/eV per atom: 1.10

Unit cell a=4.604 b=4.604 c=4.604 alpha=90.00 beta=90.00 gamma=90.00
Space group Pm-3m (No. 221)
Inequivalent atoms, fractional coordinates:
Be  0.000  0.000  0.000 [1 per cell]
Cu  0.000  0.500  0.500 [3 per cell]
Ru  0.500  0.500  0.500 [1 per cell]

***

2 | BeCu3Ru | PBE | relaxed

Summary:
Spin magnetization in μB per cell: 1.1
DOS at the Fermi energy in states/eV per atom: 0.38

Unit cell a=3.960 b=3.960 c=3.960 alpha=90.00 beta=90.00 gamma=90.00
Space group Pm-3m (No. 221)
Inequivalent atoms, fractional coordinates:
Be  0.000  0.000  0.000 [1 per cell]
Cu  0.000  0.000  0.500 [3 per cell]
Ru  0.500  0.500  0.500 [1 per cell]

***

Stability, highest: 2

***

1 | BeCuS3 | PBE | relaxed

Summary:
Spin magnetization in μB per cell: 0.0
DOS at the Fermi energy in states/eV per atom: 0.89

Unit cell a=4.282 b=4.282 c=4.282 alpha=90.00 beta=90.00 gamma=90.00
Space group Pm-3m (No. 221)
Inequivalent atoms, fractional coordinates:
Be  0.000  0.000  0.000 [1 per cell]
Cu  0.500  0.500  0.500 [1 per cell]
S  0.000  0.000  0.500 [3 per cell]

***

2 | BeCuS3 | PBE | relaxed

Summary:
Spin magnetization in μB per cell: 0.0
DOS at the Fermi energy in states/eV per atom: 0.82

Unit cell a=4.467 b=4.467 c=4.467 alpha=90.00 beta=90.00 gamma=90.00
Space group Pm-3m (No. 221)
Inequivalent atoms, fractional coordinates:
Be  0.000  0.000  0.000 [1 per cell]
Cu  0.500  0.500  0.500 [1 per cell]
S  0.000  0.500  0.500 [3 per cell]

***

Stability, highest: 1

***

1 | BeZnCuTeS | PBE | relaxed

Summary:
Spin magnetization in μB per cell: 0.0
DOS at the Fermi energy in states/eV per atom: 0.22

Unit cell a=3.821 b=4.170 c=5.793 alpha=90.00 beta=90.00 gamma=90.00
Space group Pmm2 (No. 25)
Inequivalent atoms, fractional coordinates:
Be  0.000  0.000  0.000 [1 per cell]
Zn  0.500  0.000  0.331 [1 per cell]
Cu  0.500  0.500  0.617 [1 per cell]
Te  0.000  0.500  0.270 [1 per cell]
S  0.500  0.000  0.809 [1 per cell]

***

2 | BeZnCuTeS | PBE | relaxed

Summary:
Spin magnetization in μB per cell: 0.0
DOS at the Fermi energy in states/eV per atom: 0.14

Unit cell a=3.277 b=5.895 c=6.367 alpha=79.81 beta=75.45 gamma=74.15
Space group P1 (No. 1)
Inequivalent atoms, fractional coordinates:
Be  0.000  0.000  0.000 [1 per cell]
Zn  0.288  0.127  0.301 [1 per cell]
Cu  0.751  0.401  0.099 [1 per cell]
Te  0.013  0.305  0.680 [1 per cell]
S  0.554  0.801  0.090 [1 per cell]

***

3 | BeZnCuTeS | PBE | relaxed

Summary:
Spin magnetization in μB per cell: 0.0
DOS at the Fermi energy in states/eV per atom: 0.22

Unit cell a=4.286 b=3.908 c=5.950 alpha=90.00 beta=103.06 gamma=90.00
Space group Pm (No. 6)
Inequivalent atoms, fractional coordinates:
Be  0.000  0.000  0.000 [1 per cell]
Zn  0.296  0.500  0.431 [1 per cell]
Cu  0.749  0.500  0.162 [1 per cell]
Te  0.877  0.500  0.740 [1 per cell]
S  0.460  0.000  0.196 [1 per cell]

***

Stability, highest: 2

***

1 | BeZnCuTeS | PBE | relaxed

Summary:
Spin magnetization in μB per cell: 0.0
DOS at the Fermi energy in states/eV per atom: 0.24

Unit cell a=10.014 b=4.027 c=6.159 alpha=90.00 beta=126.18 gamma=90.00
Space group Cm (No. 8)
Inequivalent atoms, fractional coordinates:
Be  0.000  0.000  0.000 [2 per cell]
Zn  0.100  0.000  0.484 [2 per cell]
Cu  0.299  0.000  0.378 [2 per cell]
Te  0.369  0.000  0.033 [2 per cell]
S  0.416  0.500  0.601 [2 per cell]

***

2 | BeZnCuTeS | PBE | relaxed

Summary:
Spin magnetization in μB per cell: 0.0
DOS at the Fermi energy in states/eV per atom: 0.31

Unit cell a=3.778 b=4.279 c=6.393 alpha=90.77 beta=93.80 gamma=108.71
Space group P1 (No. 1)
Inequivalent atoms, fractional coordinates:
Be  0.000  0.000  0.000 [1 per cell]
Zn  0.830  0.350  0.713 [1 per cell]
Cu  0.480  0.697  0.528 [1 per cell]
Te  0.123  0.084  0.376 [1 per cell]
S  0.429  0.834  0.888 [1 per cell]

***

Stability, highest: 1

***

1 | BeZnCuTeS | PBE | relaxed

Summary:
Spin magnetization in μB per cell: 0.0
DOS at the Fermi energy in states/eV per atom: 0.18

Unit cell a=3.749 b=5.034 c=5.541 alpha=91.54 beta=104.93 gamma=92.63
Space group P1 (No. 1)
Inequivalent atoms, fractional coordinates:
Be  0.000  0.000  0.000 [1 per cell]
Zn  0.583  0.576  0.068 [1 per cell]
Cu  0.788  0.094  0.596 [1 per cell]
Te  0.945  0.606  0.693 [1 per cell]
S  0.573  0.105  0.170 [1 per cell]

***

2 | BeZnCuTeS | PBE | relaxed

Summary:
Spin magnetization in μB per cell: 0.0
DOS at the Fermi energy in states/eV per atom: 0.31

Unit cell a=3.720 b=4.184 c=5.642 alpha=90.00 beta=95.64 gamma=90.00
Space group Pm (No. 6)
Inequivalent atoms, fractional coordinates:
Be  0.000  0.000  0.000 [1 per cell]
Zn  0.100  0.500  0.747 [1 per cell]
Cu  0.341  0.000  0.371 [1 per cell]
Te  0.868  0.500  0.274 [1 per cell]
S  0.473  0.000  0.795 [1 per cell]

***

Stability, highest: 1

***

1 | BeCu2Sb | PBE | relaxed

Summary:
Spin magnetization in μB per cell: 0.0
DOS at the Fermi energy in states/eV per atom: 0.26

Unit cell a=3.1286 b=3.1286 c=22.1018 alpha=90.00 beta=90.00 gamma=120.00
Space group R3m (No. 160, hexagonal axes)
Inequivalent atoms, fractional coordinates:
Be  0.0000  0.0000  0.0000 [3 per cell]
Cu  0.0000  0.0000  0.2670 [3 per cell]
Cu  0.0000  0.0000  0.5194 [3 per cell]
Sb  0.0000  0.0000  0.7554 [3 per cell]

***

2 | BeCu2Sb | PBE | relaxed

Summary:
Spin magnetization in μB per cell: 0.0
DOS at the Fermi energy in states/eV per atom: 0.26

Unit cell a=7.744 b=3.832 c=4.226 alpha=90.00 beta=106.34 gamma=90.00
Space group Cm (No. 8)
Inequivalent atoms, fractional coordinates:
Be  0.000  0.000  0.000 [2 per cell]
Cu  0.046  0.500  0.709 [2 per cell]
Cu  0.288  0.000  0.936 [2 per cell]
Sb  0.285  0.500  0.375 [2 per cell]

***

Stability, highest: 2

***

1 | BeCu2Sb | PBE | relaxed

Summary:
Spin magnetization in μB per cell: 0.0
DOS at the Fermi energy in states/eV per atom: 0.31

Unit cell a=5.395 b=5.405 c=3.935 alpha=90.00 beta=90.00 gamma=90.00
Space group Cmmm (No. 65)
Inequivalent atoms, fractional coordinates:
Be  0.000  0.000  0.000 [2 per cell]
Cu  0.250  0.250  0.500 [4 per cell]
Sb  0.000  0.500  0.000 [2 per cell]

***

2 | BeCu2Sb | PBE | relaxed

Summary:
Spin magnetization in μB per cell: 0.0
DOS at the Fermi energy in states/eV per atom: 0.29

Unit cell a=3.863 b=3.863 c=7.729 alpha=90.00 beta=90.00 gamma=90.00
Space group I-4m2 (No. 119)
Inequivalent atoms, fractional coordinates:
Be  0.000  0.000  0.000 [2 per cell]
Cu  0.000  0.000  0.500 [2 per cell]
Cu  0.000  0.500  0.750 [2 per cell]
Sb  0.000  0.500  0.250 [2 per cell]

***

Stability, highest: 1